# BW3N7 PBE optimized geometry
# Crystal system: monoclinic
# Total energy (eV/atom): -9.52
data_BW3N7
_chemical_formula_sum 'B12 W36 N84'
_symmetry_space_group_name_H-M 'C 1 2/m 1'
_symmetry_Int_Tables_number 12
_symmetry_space_group_name_Hall '-C 2y'
_cell_length_a 11.7912
_cell_length_b 10.4593
_cell_length_c 11.2308
_cell_angle_alpha 90.00
_cell_angle_beta 108.17
_cell_angle_gamma 90.00
loop_
_atom_site_label
_atom_site_type_symbol
_atom_site_fract_x
_atom_site_fract_y
_atom_site_fract_z
B1 B 0.0050 0.0000 0.1767
B2 B 0.1190 0.5000 0.7132
B3 B 0.1578 0.5000 0.3853
W1 W 0.0000 0.3083 0.5000
W2 W 0.0015 0.3186 0.8077
W3 W 0.1437 0.1749 0.0452
W4 W 0.1722 0.1482 0.7248
W5 W 0.1866 0.1491 0.3866
N1 N 0.9996 0.1244 0.1071
N2 N 0.0000 0.3296 0.0000
N3 N 0.0015 0.1771 0.3485
N4 N 0.0660 0.5000 0.8165
N5 N 0.0808 0.3805 0.3713
N6 N 0.1109 0.0000 0.7899
N7 N 0.1243 0.0000 0.2785
N8 N 0.1416 0.3832 0.6519
N9 N 0.1648 0.2551 0.2165
N10 N 0.1735 0.2007 0.5530
N11 N 0.1777 0.2512 0.8873
N12 N 0.1833 0.0000 0.0595
N13 N 0.2257 0.5000 0.2910
N14 N 0.2466 0.5000 0.5135